Entry 1:
A relaxed structure of ReAsRu2, computed with PBE.

```
ReAsRu2
1.0
2.8720 0.0000 0.0000
0.0000 2.8720 0.0000
0.0000 0.0000 6.9423
Re As Ru
1 1 2
Direct
0.0000 0.0000 0.0000
0.0000 0.0000 0.5000
0.5000 0.5000 0.2641
0.5000 0.5000 0.7359
```

Output
Calculated formation energy, eV per atom: 0.0085
Total moment, μB per atom: 0.000
D(E_F), states/eV per atom: 0.39
Space group: P4/mmm (123)

---

Entry 2:
A relaxed structure of Li2SbPt, computed with PBE.

```
Li2SbPt
1.0
1.5388 0.8884 8.6273
-1.5388 0.8884 8.6273
0.0000 -1.7768 8.6273
Li Sb Pt
2 1 1
Direct
0.2421 0.2421 0.2421
0.7579 0.7579 0.7579
0.0000 0.0000 0.0000
0.5000 0.5000 0.5000
```

Output
Raw formation energy, meV per atom: -269
Total moment, μB per atom: 0.118
D(E_F), states/eV per atom: 0.56
Space group: R-3m (166)

---

Entry 3:
A relaxed structure of CdIr2W, computed with PBE.

```
CdIr2W
1.0
2.8528 0.0000 0.0000
0.0000 3.7585 0.0000
0.0000 0.0000 6.0331
Cd Ir W
1 2 1
Direct
0.0000 0.0000 0.0000
0.5000 0.5000 0.2716
0.5000 0.5000 0.7284
0.0000 0.0000 0.5000
```

Output
Calculated formation energy, eV per atom: -0.0073
Total moment, μB per atom: 0.000
D(E_F), states/eV per atom: 0.57
Space group: Pmmm (47)

---

Entry 4:
A relaxed structure of RbSn4Pt2, computed with PBE.

```
RbSn4Pt2
1.0
8.9511 0.0000 0.0000
0.0000 8.9511 0.0000
0.0000 0.0000 4.3935
Rb Sn Pt
2 8 4
Direct
0.0000 0.0000 0.0000
0.5000 0.5000 0.5000
0.0712 0.3222 0.5000
0.1778 0.5712 0.0000
0.3222 0.0712 0.5000
0.4288 0.8222 0.0000
0.5712 0.1778 0.0000
0.6778 0.9288 0.5000
0.8222 0.4288 0.0000
0.9288 0.6778 0.5000
0.2247 0.7753 0.5000
0.2753 0.2753 0.0000
0.7247 0.7247 0.0000
0.7753 0.2247 0.5000
```

Output
Calculated formation energy, eV per atom: -0.2863
Total moment, μB per atom: 0.000
D(E_F), states/eV per atom: 0.41
Space group: P4_2/mnm (136)

---

Entry 5:
A relaxed structure of BaIrS3, computed with PBE.

```
BaIrS3
1.0
4.8104 0.0000 0.0000
0.0000 4.8104 0.0000
0.0000 0.0000 4.8104
Ba Ir S
1 1 3
Direct
0.0000 0.0000 0.0000
0.5000 0.5000 0.5000
0.0000 0.5000 0.5000
0.5000 0.0000 0.5000
0.5000 0.5000 0.0000
```

Output
Raw formation energy, meV per atom: -629
Total moment, μB per atom: 0.331
D(E_F), states/eV per atom: 0.99
Space group: Pm-3m (221)

---

Entry 6:
A relaxed structure of PaGa2Pd3, computed with PBE.

```
PaGa2Pd3
1.0
8.4634 -1.9968 0.0000
8.4634 1.9968 0.0000
-2.9617 0.0000 9.5306
Pa Ga Pd
3 6 9
Direct
0.0000 0.0000 0.0000
0.1654 0.1654 0.7025
0.8346 0.8346 0.2975
0.1953 0.1953 0.1285
0.3637 0.3637 0.5491
0.4557 0.4557 0.2243
0.5443 0.5443 0.7757
0.6363 0.6363 0.4509
0.8047 0.8047 0.8715
0.0416 0.0416 0.3314
0.2196 0.2196 0.3905
0.3202 0.3202 0.0396
0.3931 0.3931 0.8195
0.5000 0.5000 0.5000
0.6069 0.6069 0.1805
0.6798 0.6798 0.9604
0.7804 0.7804 0.6095
0.9584 0.9584 0.6686
```

Output
Calculated formation energy, eV per atom: -0.6113
Total moment, μB per atom: 0.001
D(E_F), states/eV per atom: 0.70
Space group: C2/m (12)

---

Entry 7:
A relaxed structure of ZrSc2TlN, computed with PBE.

```
ZrSc2TlN
1.0
4.4828 0.0000 0.0000
0.0000 4.4828 0.0000
0.0000 0.0000 4.5262
Zr Sc Tl N
1 2 1 1
Direct
0.0000 0.0000 0.0000
0.0000 0.5000 0.5000
0.5000 0.0000 0.5000
0.5000 0.5000 0.0000
0.0000 0.0000 0.5000
```

Output
Raw formation energy, meV per atom: -952
Total moment, μB per atom: 0.000
D(E_F), states/eV per atom: 0.58
Space group: P4/mmm (123)

---

Entry 8:
A relaxed structure of ThScAs2, computed with PBE.

```
ThScAs2
1.0
4.0252 0.0000 0.0000
-2.0126 3.4859 0.0000
0.0000 0.0000 13.5873
Th Sc As
2 2 4
Direct
0.3333 0.6667 0.2500
0.6667 0.3333 0.7500
0.0000 0.0000 0.0000
0.0000 0.0000 0.5000
0.3333 0.6667 0.6112
0.3333 0.6667 0.8888
0.6667 0.3333 0.1112
0.6667 0.3333 0.3888
```

Output
Calculated formation energy, eV per atom: -1.3286
Total moment, μB per atom: 0.001
D(E_F), states/eV per atom: 0.70
Space group: P6_3/mmc (194)

---

Entry 9:
A relaxed structure of AcHo12Tm3, computed with PBE.

```
AcHo12Tm3
1.0
5.0113 0.0000 0.0000
0.0000 5.0113 0.0000
0.0000 0.0000 20.0727
Ac Ho Tm
1 12 3
Direct
0.0000 0.0000 0.0000
0.0000 0.5000 0.1320
0.0000 0.5000 0.3772
0.0000 0.5000 0.6228
0.0000 0.5000 0.8680
0.5000 0.0000 0.1320
0.5000 0.0000 0.3772
0.5000 0.0000 0.6228
0.5000 0.0000 0.8680
0.5000 0.5000 0.0000
0.5000 0.5000 0.2552
0.5000 0.5000 0.5000
0.5000 0.5000 0.7448
0.0000 0.0000 0.2538
0.0000 0.0000 0.5000
0.0000 0.0000 0.7462
```

Output
Calculated formation energy, eV per atom: 0.0360
Total moment, μB per atom: 0.000
D(E_F), states/eV per atom: 1.38
Space group: P4/mmm (123)

---

Entry 10:
A relaxed structure of NbGaFe2, computed with PBE.

```
NbGaFe2
1.0
-3.4145 3.4145 2.6203
3.4145 -3.4145 2.6203
3.4145 3.4145 -2.6203
Nb Ga Fe
2 2 4
Direct
0.0000 0.0000 0.0000
0.7500 0.2500 0.5000
0.2500 0.7500 0.5000
0.5000 0.5000 0.0000
0.1341 0.6250 0.0091
0.3750 0.3841 0.5091
0.6159 0.1250 0.9909
0.8750 0.8659 0.4909
```

Output
Calculated formation energy, eV per atom: 0.4378
Total moment, μB per atom: 1.030
D(E_F), states/eV per atom: 1.24
Space group: I-42d (122)

---

Entry 11:
A relaxed structure of Be2NbZnPd, computed with PBE.

```
Be2NbZnPd
1.0
4.1207 0.0000 0.0000
0.0000 4.1207 0.0000
0.0000 0.0000 4.5701
Be Nb Zn Pd
2 1 1 1
Direct
0.0000 0.5000 0.0000
0.5000 0.0000 0.0000
0.0000 0.0000 0.5000
0.5000 0.5000 0.5000
0.5000 0.5000 0.0000
```

Output
Calculated formation energy, eV per atom: 0.5052
Total moment, μB per atom: 0.000
D(E_F), states/eV per atom: 0.88
Space group: P4/mmm (123)

---

Entry 12:
A relaxed structure of Ce3Y3MgSe8, computed with PBE.

```
Ce3Y3MgSe8
1.0
4.1054 2.3703 6.8195
-4.1054 2.3703 6.8195
0.0000 -4.7405 6.8195
Ce Y Mg Se
3 3 1 8
Direct
0.0000 0.5000 0.5000
0.5000 0.0000 0.5000
0.5000 0.5000 0.0000
0.0000 0.0000 0.5000
0.0000 0.5000 0.0000
0.5000 0.0000 0.0000
0.5000 0.5000 0.5000
0.2465 0.2465 0.2465
0.2517 0.7414 0.7414
0.2586 0.2586 0.7483
0.2586 0.7483 0.2586
0.7414 0.2517 0.7414
0.7414 0.7414 0.2517
0.7483 0.2586 0.2586
0.7535 0.7535 0.7535
```

Output
Raw formation energy, meV per atom: -1751
Total moment, μB per atom: 0.225
D(E_F), states/eV per atom: 1.39
Space group: R-3m (166)

---

Question: Number 9 is which compound?
Answer: AcHo12Tm3